No. 1
Density functional theory data (PBE) for an optimized crystal structure of InCoReNi.

- distance to the lowest polymorph of the same formula (eV per atom) = 0.000

Structure (CIF):
```
data_InCoReNi
_chemical_formula_sum 'In4 Co4 Re4 Ni4'
_cell_length_a 6.053
_cell_length_b 6.053
_cell_length_c 6.053
_cell_angle_alpha 90.00
_cell_angle_beta 90.00
_cell_angle_gamma 90.00
_space_group_name_H-M_alt 'F -4 3 m'
_space_group_IT_number 216
_space_group_name_Hall 'F -4 2 3'
loop_
_atom_site_label
_atom_site_type_symbol
_atom_site_fract_x
_atom_site_fract_y
_atom_site_fract_z
In1 In 0.000 0.000 0.000
Co1 Co 0.250 0.250 0.250
Re1 Re 0.000 0.000 0.500
Ni1 Ni 0.250 0.250 0.750
```

=====

No. 2
Density functional theory data (PBE) for an optimized crystal structure of Ba2SrH6Ir.

- total energy (eV/atom) = -3.752

Structure (CIF):
```
data_Ba2SrH6Ir
_chemical_formula_sum 'Ba8 Sr4 H24 Ir4'
_cell_length_a 8.503
_cell_length_b 8.503
_cell_length_c 8.503
_cell_angle_alpha 90.00
_cell_angle_beta 90.00
_cell_angle_gamma 90.00
_space_group_name_H-M_alt 'F m -3 m'
_space_group_IT_number 225
_space_group_name_Hall '-F 4 2 3'
loop_
_atom_site_label
_atom_site_type_symbol
_atom_site_fract_x
_atom_site_fract_y
_atom_site_fract_z
Ba1 Ba 0.250 0.250 0.250
Sr1 Sr 0.000 0.000 0.000
H1 H 0.000 0.000 0.295
Ir1 Ir 0.000 0.000 0.500
```

=====

No. 3
Density functional theory data (PBE) for an optimized crystal structure of ReTcS4.

- distance to the lowest polymorph of the same formula (eV per atom) = 0.000

Structure (CIF):
```
data_ReTcS4
_chemical_formula_sum 'Re2 Tc2 S8'
_cell_length_a 6.404
_cell_length_b 6.499
_cell_length_c 6.628
_cell_angle_alpha 91.77
_cell_angle_beta 104.68
_cell_angle_gamma 118.80
_space_group_name_H-M_alt 'P -1'
_space_group_IT_number 2
loop_
_space_group_symop_operation_xyz
'x,y,z'
'-x,-y,-z'
loop_
_atom_site_label
_atom_site_type_symbol
_atom_site_fract_x
_atom_site_fract_y
_atom_site_fract_z
Re1 Re 0.012 0.214 0.002
Tc1 Tc 0.441 0.189 0.008
S1 S 0.227 0.844 0.753
S2 S 0.244 0.115 0.276
S3 S 0.252 0.634 0.189
S4 S 0.274 0.390 0.787
```

=====

No. 4
Density functional theory data (PBE) for an optimized crystal structure of LiNiAgGe.

- total energy (eV/atom) = -3.905

Structure (CIF):
```
data_LiNiAgGe
_chemical_formula_sum 'Li4 Ni4 Ag4 Ge4'
_cell_length_a 6.056
_cell_length_b 6.056
_cell_length_c 6.056
_cell_angle_alpha 90.00
_cell_angle_beta 90.00
_cell_angle_gamma 90.00
_space_group_name_H-M_alt 'F -4 3 m'
_space_group_IT_number 216
_space_group_name_Hall 'F -4 2 3'
loop_
_atom_site_label
_atom_site_type_symbol
_atom_site_fract_x
_atom_site_fract_y
_atom_site_fract_z
Li1 Li 0.000 0.000 0.000
Ni1 Ni 0.000 0.000 0.500
Ag1 Ag 0.250 0.250 0.750
Ge1 Ge 0.250 0.250 0.250
```

=====

No. 5
Density functional theory data (PBE) for an optimized crystal structure of MgSbPtAu.

- distance to the lowest polymorph of the same formula (eV per atom) = 0.000

Structure (CIF):
```
data_MgSbPtAu
_chemical_formula_sum 'Mg4 Sb4 Pt4 Au4'
_cell_length_a 6.702
_cell_length_b 6.702
_cell_length_c 6.702
_cell_angle_alpha 90.00
_cell_angle_beta 90.00
_cell_angle_gamma 90.00
_space_group_name_H-M_alt 'F -4 3 m'
_space_group_IT_number 216
_space_group_name_Hall 'F -4 2 3'
loop_
_atom_site_label
_atom_site_type_symbol
_atom_site_fract_x
_atom_site_fract_y
_atom_site_fract_z
Mg1 Mg 0.000 0.000 0.000
Sb1 Sb 0.000 0.000 0.500
Pt1 Pt 0.250 0.250 0.250
Au1 Au 0.250 0.250 0.750
```

=====

No. 6
Density functional theory data (PBE) for an optimized crystal structure of Dy2Ho2CBr4Cl.

- total energy (eV/atom) = -5.086

Structure (CIF):
```
data_Dy2Ho2CBr4Cl
_chemical_formula_sum 'Dy4 Ho4 C2 Br8 Cl2'
_cell_length_a 17.749
_cell_length_b 3.770
_cell_length_c 7.883
_cell_angle_alpha 90.00
_cell_angle_beta 102.61
_cell_angle_gamma 90.00
_space_group_name_H-M_alt 'C 1 2/m 1'
_space_group_IT_number 12
loop_
_space_group_symop_operation_xyz
'x,y,z'
'-x,-y,-z'
'-x,y,-z'
'x,-y,z'
'x+1/2,y+1/2,z'
'-x+1/2,-y+1/2,-z'
'-x+1/2,y+1/2,-z'
'x+1/2,-y+1/2,z'
loop_
_atom_site_label
_atom_site_type_symbol
_atom_site_fract_x
_atom_site_fract_y
_atom_site_fract_z
Dy1 Dy 0.001 0.000 0.291
Ho1 Ho 0.137 0.500 0.572
C1 C 0.000 0.500 0.500
Br1 Br 0.164 0.000 0.846
Br2 Br 0.170 0.000 0.323
Cl1 Cl 0.000 0.500 0.000
```

=====

No. 7
Density functional theory data (PBE) for an optimized crystal structure of TcSbNO.

- distance to the lowest polymorph of the same formula (eV per atom) = 0.035

Structure (CIF):
```
data_TcSbNO
_chemical_formula_sum 'Tc4 Sb4 N4 O4'
_cell_length_a 5.994
_cell_length_b 7.254
_cell_length_c 5.118
_cell_angle_alpha 90.00
_cell_angle_beta 90.00
_cell_angle_gamma 90.00
_space_group_name_H-M_alt 'P c a 21'
_space_group_IT_number 29
loop_
_space_group_symop_operation_xyz
'x,y,z'
'-x,-y,z+1/2'
'-x+1/2,y,z+1/2'
'x+1/2,-y,z'
loop_
_atom_site_label
_atom_site_type_symbol
_atom_site_fract_x
_atom_site_fract_y
_atom_site_fract_z
Tc1 Tc 0.107 0.064 0.000
Sb1 Sb 0.111 0.661 0.932
N1 N 0.087 0.140 0.628
O1 O 0.078 0.355 0.106
```

=====

No. 8
Density functional theory data (PBE) for an optimized crystal structure of PaAsS.

- total energy (eV/atom) = -7.384

Structure (CIF):
```
data_PaAsS
_chemical_formula_sum 'Pa4 As4 S4'
_cell_length_a 3.915
_cell_length_b 3.915
_cell_length_c 16.024
_cell_angle_alpha 90.00
_cell_angle_beta 90.00
_cell_angle_gamma 90.00
_space_group_name_H-M_alt 'I 4/m m m'
_space_group_IT_number 139
_space_group_name_Hall '-I 4 2'
loop_
_atom_site_label
_atom_site_type_symbol
_atom_site_fract_x
_atom_site_fract_y
_atom_site_fract_z
Pa1 Pa 0.000 0.000 0.141
As1 As 0.000 0.500 0.000
S1 S 0.000 0.000 0.318
```

=====

Q: What is the formula in the third record?
A: ReTcS4